[1]
An optimized crystal structure of LiZnAsPt. Source: OQMD, functional PBE.

The structure belongs to space group F-43m (No. 216); the cell edges are 6.215, 6.215 and 6.215 Å and the angles 90.00°, 90.00° and 90.00°. The inequivalent atoms are Li at (0.000, 0.000, 0.000), Zn at (0.250, 0.250, 0.750), As at (0.000, 0.000, 0.500) and Pt at (0.250, 0.250, 0.250).

The volume comes out at 15.01 A^3/atom. For the total magnetization, the calculation gives 0.000 μB/f.u. The excess energy over the best structure of this formula in the dataset is 0.1267 eV per atom.

[2]
An optimized crystal structure of Li4ZnAsPt2. Source: OQMD, functional PBE.

The structure belongs to space group P-4m2 (No. 115); the cell edges are 4.347, 4.347 and 5.853 Å and the angles 90.00°, 90.00° and 90.00°. The inequivalent atoms are Li at (0.000, 0.000, 0.000), Li at (0.000, 0.500, 0.743), Li at (0.500, 0.500, 0.500), Zn at (0.000, 0.000, 0.500), As at (0.500, 0.500, 0.000) and Pt at (0.000, 0.500, 0.239).

The volume comes out at 13.83 A^3/atom. For the total magnetization, the calculation gives 0.000 μB/f.u. The calculation puts the total energy at -0.279 Ry/atom.

[3]
An optimized crystal structure of LiZnAsPt. Source: OQMD, functional PBE.

The structure belongs to space group F-43m (No. 216); the cell edges are 6.207, 6.207 and 6.207 Å and the angles 90.00°, 90.00° and 90.00°. The inequivalent atoms are Li at (0.000, 0.000, 0.000), Zn at (0.250, 0.250, 0.750), As at (0.250, 0.250, 0.250) and Pt at (0.000, 0.000, 0.500).

The volume comes out at 14.94 A^3/atom. For the total magnetization, the calculation gives 0.000 μB/f.u. The excess energy over the best structure of this formula in the dataset is 0.0000 eV per atom.

[4]
An optimized crystal structure of LiPuAs. Source: OQMD, functional PBE.

The structure belongs to space group F-43m (No. 216); the cell edges are 6.578, 6.578 and 6.578 Å and the angles 90.00°, 90.00° and 90.00°. The inequivalent atoms are Li at (0.000, 0.000, 0.000), Pu at (0.000, 0.000, 0.500) and As at (0.250, 0.250, 0.250).

The volume comes out at 23.72 A^3/atom. For the total magnetization, the calculation gives 6.001 μB/f.u. The excess energy over the best structure of this formula in the dataset is 0.0000 eV per atom.

[5]
An optimized crystal structure of LiPuAs. Source: OQMD, functional PBE.

The structure belongs to space group F-43m (No. 216); the cell edges are 6.646, 6.646 and 6.646 Å and the angles 90.00°, 90.00° and 90.00°. The inequivalent atoms are Li at (0.000, 0.000, 0.000), Pu at (0.250, 0.250, 0.250) and As at (0.000, 0.000, 0.500).

The volume comes out at 24.46 A^3/atom. For the total magnetization, the calculation gives 5.996 μB/f.u. The excess energy over the best structure of this formula in the dataset is 0.4186 eV per atom.

[6]
An optimized crystal structure of LiRe2As. Source: OQMD, functional PBE.

The structure belongs to space group F-43m (No. 216); the cell edges are 6.096, 6.096 and 6.096 Å and the angles 90.00°, 90.00° and 90.00°. The inequivalent atoms are Li at (0.000, 0.000, 0.000), Re at (0.000, 0.000, 0.500), Re at (0.250, 0.250, 0.250) and As at (0.250, 0.250, 0.750).

The volume comes out at 14.16 A^3/atom. For the total magnetization, the calculation gives 0.251 μB/f.u. The calculation puts the total energy at -0.562 Ry/atom.

[7]
An optimized crystal structure of LiRe3As5. Source: OQMD, functional PBE.

The structure belongs to space group P6/mmm (No. 191); the cell edges are 5.3626, 5.3626 and 7.6970 Å and the angles 90.00°, 90.00° and 120.00°. The inequivalent atoms are Li at (0.0000, 0.0000, 0.0000), Re at (0.0000, 0.5000, 0.5000), As at (0.0000, 0.0000, 0.5000) and As at (0.3333, 0.6667, 0.2245).

The volume comes out at 21.30 A^3/atom. For the total magnetization, the calculation gives 0.193 μB/f.u. The calculation puts the total energy at -0.487 Ry/atom.

[8]
An optimized crystal structure of LiReAs. Source: OQMD, functional PBE.

The structure belongs to space group F-43m (No. 216); the cell edges are 5.806, 5.806 and 5.806 Å and the angles 90.00°, 90.00° and 90.00°. The inequivalent atoms are Li at (0.000, 0.000, 0.000), Re at (0.250, 0.250, 0.750) and As at (0.000, 0.000, 0.500).

The volume comes out at 16.31 A^3/atom. For the total magnetization, the calculation gives 0.054 μB/f.u. The excess energy over the best structure of this formula in the dataset is 0.3265 eV per atom.

[9]
An optimized crystal structure of LiReSbAs. Source: OQMD, functional PBE.

The structure belongs to space group F-43m (No. 216); the cell edges are 6.498, 6.498 and 6.498 Å and the angles 90.00°, 90.00° and 90.00°. The inequivalent atoms are Li at (0.000, 0.000, 0.000), Re at (0.250, 0.250, 0.250), Sb at (0.250, 0.250, 0.750) and As at (0.000, 0.000, 0.500).

The volume comes out at 17.15 A^3/atom. For the total magnetization, the calculation gives 1.353 μB/f.u. The excess energy over the best structure of this formula in the dataset is 0.5387 eV per atom.

[10]
An optimized crystal structure of LiReSbAs. Source: OQMD, functional PBE.

The structure belongs to space group F-43m (No. 216); the cell edges are 6.426, 6.426 and 6.426 Å and the angles 90.00°, 90.00° and 90.00°. The inequivalent atoms are Li at (0.000, 0.000, 0.000), Re at (0.000, 0.000, 0.500), Sb at (0.250, 0.250, 0.750) and As at (0.250, 0.250, 0.250).

The volume comes out at 16.58 A^3/atom. For the total magnetization, the calculation gives 0.007 μB/f.u. The excess energy over the best structure of this formula in the dataset is 0.0000 eV per atom.

[11]
An optimized crystal structure of LiTaReAs. Source: OQMD, functional PBE.

The structure belongs to space group F-43m (No. 216); the cell edges are 6.180, 6.180 and 6.180 Å and the angles 90.00°, 90.00° and 90.00°. The inequivalent atoms are Li at (0.000, 0.000, 0.000), Ta at (0.250, 0.250, 0.750), Re at (0.000, 0.000, 0.500) and As at (0.250, 0.250, 0.250).

The volume comes out at 14.76 A^3/atom. For the total magnetization, the calculation gives 0.001 μB/f.u. The excess energy over the best structure of this formula in the dataset is 0.0000 eV per atom.

[12]
An optimized crystal structure of LiTaReAs. Source: OQMD, functional PBE.

The structure belongs to space group F-43m (No. 216); the cell edges are 6.137, 6.137 and 6.137 Å and the angles 90.00°, 90.00° and 90.00°. The inequivalent atoms are Li at (0.000, 0.000, 0.000), Ta at (0.250, 0.250, 0.750), Re at (0.250, 0.250, 0.250) and As at (0.000, 0.000, 0.500).

The volume comes out at 14.45 A^3/atom. For the total magnetization, the calculation gives 0.002 μB/f.u. The excess energy over the best structure of this formula in the dataset is 0.4335 eV per atom.

Which formula does entry 11 have? LiTaReAs

Look up the volume of the fourth one. 23.72 A^3/atom

Among the records above, which one has the highest total magnetization? number 4

Please write out number 1 again, unchanged.
An optimized crystal structure of LiZnAsPt. Source: OQMD, functional PBE.

The structure belongs to space group F-43m (No. 216); the cell edges are 6.215, 6.215 and 6.215 Å and the angles 90.00°, 90.00° and 90.00°. The inequivalent atoms are Li at (0.000, 0.000, 0.000), Zn at (0.250, 0.250, 0.750), As at (0.000, 0.000, 0.500) and Pt at (0.250, 0.250, 0.250).

The volume comes out at 15.01 A^3/atom. For the total magnetization, the calculation gives 0.000 μB/f.u. The excess energy over the best structure of this formula in the dataset is 0.1267 eV per atom.